# 1
Below is a relaxed structure of Ba5Be4, with properties calculated at the PBE level.

Unit cell a=9.558 b=9.558 c=8.079 alpha=90.00 beta=90.00 gamma=120.00
Element x y z (fractional)
Ba: 0.000 0.264 0.250
Ba: 0.000 0.736 0.750
Ba: 0.264 0.000 0.250
Ba: 0.264 0.264 0.750
Ba: 0.333 0.667 0.000
Ba: 0.333 0.667 0.500
Ba: 0.667 0.333 0.000
Ba: 0.667 0.333 0.500
Ba: 0.736 0.000 0.750
Ba: 0.736 0.736 0.250
Be: 0.000 0.000 0.000
Be: 0.000 0.000 0.500
Be: 0.000 0.393 0.750
Be: 0.000 0.607 0.250
Be: 0.393 0.000 0.750
Be: 0.393 0.393 0.250
Be: 0.607 0.000 0.250
Be: 0.607 0.607 0.750

As for the formation energy: 0.65 eV/atom. As for the space group: P6_3/mcm (193). The density of states at the Fermi level comes out at 25.62 states/eV/cell. The calculation puts the energy relative to the lowest polymorph listed for this composition at 0 meV per atom. For the calculated density, the calculation gives 3.8 g/cm³.

***

# 2
Below is a relaxed structure of Zr2MoAuC, with properties calculated at the PBE level.

Unit cell a=4.588 b=4.588 c=4.081 alpha=90.00 beta=90.00 gamma=90.00
Element x y z (fractional)
Zr: 0.000 0.500 0.000
Zr: 0.500 0.000 0.000
Mo: 0.000 0.000 0.500
Au: 0.500 0.500 0.500
C: 0.000 0.000 0.000

As for the formation energy: -0.40 eV/atom. As for the space group: P4/mmm (123). The density of states at the Fermi level comes out at 3.58 states/eV/cell. For the calculated density, the calculation gives 9.4 g/cm³.

***

# 3
Below is a relaxed structure of CoReH2, with properties calculated at the PBE level.

Unit cell a=5.008 b=5.008 c=5.008 alpha=90.00 beta=90.00 gamma=90.00
Element x y z (fractional)
Co: 0.000 0.000 0.000
Co: 0.000 0.500 0.500
Co: 0.500 0.000 0.500
Co: 0.500 0.500 0.000
Re: 0.000 0.000 0.500
Re: 0.000 0.500 0.000
Re: 0.500 0.000 0.000
Re: 0.500 0.500 0.500
H: 0.250 0.250 0.250
H: 0.250 0.250 0.750
H: 0.250 0.750 0.250
H: 0.250 0.750 0.750
H: 0.750 0.250 0.250
H: 0.750 0.250 0.750
H: 0.750 0.750 0.250
H: 0.750 0.750 0.750

As for the space group: Fm-3m (225). The density of states at the Fermi level comes out at 15.18 states/eV/cell. The calculation puts the energy relative to the lowest polymorph listed for this composition at 585 meV per atom. For the calculated density, the calculation gives 13.1 g/cm³.